# RbTlPb2

RbTlPb2 after structural relaxation (PBE-GGA, the Alexandria database).

## Properties
DOS at the Fermi energy (states/eV/cell): 4.034
Energy relative to the elements (eV per atom): 0.048
Total magnetization (μB/cell): 0.00
V (Å³ per atom): 34.7
Final energy (eV per atom): -2.6396

a = 5.0610 Å, b = 5.0610 Å, c = 5.4260 Å
α = 90.00°, β = 90.00°, γ = 90.00°
Closest atoms and distances in Å follow each position.
Space group P4/mmm (No. 123)
One atom of each set of equivalent atoms:
Rb 0.0000 0.0000 0.0000 [1 per cell]  4 Tl 3.58, 8 Pb 3.71
Tl 0.5000 0.5000 0.0000 [1 per cell]  4 Rb 3.58, 8 Pb 3.71
Pb 0.0000 0.5000 0.5000 [2 per cell]  4 Pb 3.58, 4 Tl 3.71, 4 Rb 3.71